Entry w
Below is crystalline Na2LiLaCl6 at its relaxed geometry, with properties calculated at the PBE level.

Geometry as CIF:
```
data_Na2LiLaCl6
_symmetry_space_group_name_H-M 'F m -3 m'
_symmetry_Int_Tables_number 225
_symmetry_space_group_name_Hall '-F 4 2 3'
_cell_length_a 10.5440
_cell_length_b 10.5440
_cell_length_c 10.5440
_cell_angle_alpha 90.00
_cell_angle_beta 90.00
_cell_angle_gamma 90.00
loop_
_atom_site_label
_atom_site_type_symbol
_atom_site_fract_x
_atom_site_fract_y
_atom_site_fract_z
_atom_site_occupancy
Na1 Na 0.2500 0.2500 0.2500 1
Li1 Li 0.0000 0.0000 0.0000 1
La1 La 0.0000 0.0000 0.5000 1
Cl1 Cl 0.0000 0.0000 0.2396 1
```

**Total magnetization**: 0.0 μB per cell
**Crystal system**: cubic

---

Entry x
Below is crystalline Na2LiLaCl6 at its relaxed geometry, with properties calculated at the PBE level.

Geometry as CIF:
```
data_Na2LiLaCl6
_symmetry_space_group_name_H-M 'R 3'
_symmetry_Int_Tables_number 146
_symmetry_space_group_name_Hall 'R 3'
_cell_length_a 7.0135
_cell_length_b 7.0135
_cell_length_c 18.8377
_cell_angle_alpha 90.00
_cell_angle_beta 90.00
_cell_angle_gamma 120.00
loop_
_atom_site_label
_atom_site_type_symbol
_atom_site_fract_x
_atom_site_fract_y
_atom_site_fract_z
_atom_site_occupancy
Na1 Na 0.0000 0.0000 0.0000 1
Na2 Na 0.0000 0.0000 0.4990 1
Li1 Li 0.0000 0.0000 0.2043 1
La1 La 0.0000 0.0000 0.7008 1
Cl1 Cl 0.0381 0.3437 0.2713 1
Cl2 Cl 0.0438 0.6821 0.7743 1
```

**Total magnetization**: 0.0 μB per cell
**Crystal system**: trigonal

---

Ranking the structures above by stability puts entry x first and entry w last.